Entry 1:
! ReTcPd2Au PBE optimized geometry; values from VASP
&SYSTEM
  ibrav = 0, nat = 5, ntyp = 4
/
ATOMIC_SPECIES
Re 186.21 Re.upf
Tc 98.00 Tc.upf
Pd 106.42 Pd.upf
Au 196.97 Au.upf
CELL_PARAMETERS angstrom
4.761 0.000 0.000
0.000 4.761 0.000
0.000 0.000 5.023
ATOMIC_POSITIONS crystal
Re 0.000 0.000 0.000
Tc 0.500 0.500 0.500
Pd 0.000 0.500 0.000
Pd 0.500 0.000 0.000
Au 0.000 0.000 0.500
! Mass density ... 10.12 Mg/m³
! ΔE_f ... 1.746 eV/atom
! N(E_F) ... 5.88 states/eV per cell

---

Entry 2:
! TlRePd2Au PBE optimized geometry; values from VASP
&SYSTEM
  ibrav = 0, nat = 5, ntyp = 4
/
ATOMIC_SPECIES
Tl 204.38 Tl.upf
Re 186.21 Re.upf
Pd 106.42 Pd.upf
Au 196.97 Au.upf
CELL_PARAMETERS angstrom
5.047 0.000 0.000
0.000 5.047 0.000
0.000 0.000 5.073
ATOMIC_POSITIONS crystal
Tl 0.000 0.000 0.000
Re 0.500 0.500 0.000
Pd 0.000 0.500 0.500
Pd 0.500 0.000 0.500
Au 0.000 0.000 0.500
! Mass density ... 10.29 Mg/m³
! ΔE_f ... 1.693 eV/atom
! N(E_F) ... 4.98 states/eV per cell

---

What did the first record say?
! ReTcPd2Au PBE optimized geometry; values from VASP
&SYSTEM
  ibrav = 0, nat = 5, ntyp = 4
/
ATOMIC_SPECIES
Re 186.21 Re.upf
Tc 98.00 Tc.upf
Pd 106.42 Pd.upf
Au 196.97 Au.upf
CELL_PARAMETERS angstrom
4.761 0.000 0.000
0.000 4.761 0.000
0.000 0.000 5.023
ATOMIC_POSITIONS crystal
Re 0.000 0.000 0.000
Tc 0.500 0.500 0.500
Pd 0.000 0.500 0.000
Pd 0.500 0.000 0.000
Au 0.000 0.000 0.500
! Mass density ... 10.12 Mg/m³
! ΔE_f ... 1.746 eV/atom
! N(E_F) ... 5.88 states/eV per cell